Entry 1:
The following is a DFT calculation (PBE-GGA) of a relaxed Pm3Nd12Y crystal.

a = 5.191 Å, b = 5.191 Å, c = 20.731 Å
α = 90.00°, β = 90.00°, γ = 90.00°
Fractional positions:
Nd1 0.500 0.000 0.124
Nd2 0.500 0.000 0.375
Nd3 0.500 0.000 0.625
Nd4 0.500 0.500 0.000
Pm1 0.000 0.000 0.500
Nd5 0.000 0.500 0.124
Pm2 0.000 0.000 0.249
Nd6 0.000 0.500 0.625
Nd7 0.500 0.500 0.249
Nd8 0.500 0.000 0.876
Pm3 0.000 0.000 0.751
Y1 0.000 0.000 0.000
Nd9 0.500 0.500 0.500
Nd10 0.000 0.500 0.375
Nd11 0.000 0.500 0.876
Nd12 0.500 0.500 0.751

Computed properties:
E_form = 0.011 eV/atom
DFT total energy = -77.75 eV per cell
Magnetic moment = 0.00 μB/cell

=====

Entry 2:
The following is a DFT calculation (PBE-GGA) of a relaxed Pm2Nd8Y3 crystal.

a = 5.752 Å, b = 7.742 Å, c = 11.077 Å
α = 110.46°, β = 90.02°, γ = 90.00°
Fractional positions:
Nd1 0.001 0.671 0.343
Nd2 0.500 0.190 0.790
Nd3 0.000 0.132 0.263
Y1 0.000 0.716 0.000
Nd4 0.500 0.400 0.210
Pm1 0.499 0.240 0.481
Y2 0.500 0.000 0.000
Nd5 0.500 0.810 0.210
Y3 0.000 0.284 0.000
Nd6 0.500 0.600 0.790
Pm2 0.501 0.760 0.519
Nd7 0.999 0.329 0.657
Nd8 0.000 0.868 0.737

Computed properties:
E_form = 0.200 eV/atom
DFT total energy = -64.44 eV per cell
Energy above the most stable polymorph in this dataset = 186 meV/atom
Magnetic moment = 0.00 μB/cell